[1]
A plane-wave DFT calculation with PBE was carried out for crystalline PmPa5 at its relaxed geometry.

a = 4.6719 Å, b = 14.1958 Å, c = 4.6986 Å
α = 90.00°, β = 90.00°, γ = 90.00°
With the nearest neighbours (Å) after each atom.
Atoms (fractional coordinates):
Pm (0.0000, 0.0000, 0.0000)  12 Pa 3.31-3.35
Pm (0.5000, 0.5000, 0.0000)  12 Pa 3.31-3.35
Pa (0.0000, 0.1679, 0.5000)  10 Pa 3.29-3.34, 2 Pm 3.35
Pa (0.0000, 0.3306, 0.0000)  10 Pa 3.27-3.36, 2 Pm 3.35
Pa (0.0000, 0.5000, 0.5000)  4 Pm 3.31, 8 Pa 3.34-3.36
Pa (0.0000, 0.6694, 0.0000)  10 Pa 3.27-3.36, 2 Pm 3.35
Pa (0.0000, 0.8321, 0.5000)  10 Pa 3.29-3.34, 2 Pm 3.35
Pa (0.5000, 0.0000, 0.5000)  4 Pm 3.31, 8 Pa 3.34-3.36
Pa (0.5000, 0.1694, 0.0000)  10 Pa 3.27-3.36, 2 Pm 3.35
Pa (0.5000, 0.3321, 0.5000)  10 Pa 3.29-3.34, 2 Pm 3.35
Pa (0.5000, 0.6679, 0.5000)  10 Pa 3.29-3.34, 2 Pm 3.35
Pa (0.5000, 0.8306, 0.0000)  10 Pa 3.27-3.36, 2 Pm 3.35

Calculated values
The value obtained for the density of states at the Fermi level is 22.72 states/eV per cell. The value obtained for the formation energy is 14 kJ per mole of atoms. As for the size of the total moment: 0.000 μB/atom. The value obtained for the total energy is -8.5592 eV/atom.



[2]
A plane-wave DFT calculation with PBE was carried out for crystalline Tl2CuRh at its relaxed geometry.

a = 4.5559 Å, b = 3.3788 Å, c = 5.4608 Å
α = 90.00°, β = 111.97°, γ = 90.00°
With the nearest neighbours (Å) after each atom.
Atoms (fractional coordinates):
Tl (0.0000, 0.0000, 0.0000)  2 Cu 2.83, 4 Rh 2.84
Tl (0.0000, 0.5000, 0.5000)  2 Rh 2.83, 4 Cu 2.84
Cu (0.5000, 0.0000, 0.5000)  6 Tl 2.83-2.84
Rh (0.5000, 0.5000, 0.0000)  6 Tl 2.83-2.84

Calculated values
The value obtained for the density of states at the Fermi level is 1.98 states/eV per cell. The value obtained for the formation energy is 28 kJ per mole of atoms. The relative energy among the computed polymorphs is 0.57 eV/f.u. As for the size of the total moment: 0.000 μB/atom. The value obtained for the total energy is -3.7501 eV/atom.



[3]
A plane-wave DFT calculation with PBE was carried out for crystalline MgUOs at its relaxed geometry.

a = 3.1707 Å, b = 3.1707 Å, c = 12.1631 Å
α = 90.00°, β = 90.00°, γ = 90.00°
With the nearest neighbours (Å) after each atom.
Atoms (fractional coordinates):
Mg (0.0000, 0.0000, 0.0000)  4 Os 2.84, 4 Mg 3.17
Mg (0.5000, 0.5000, 0.5000)  4 Os 2.84, 4 Mg 3.17
U (0.0000, 0.0000, 0.2771)  4 Os 2.77
U (0.5000, 0.5000, 0.7771)  4 Os 2.77
Os (0.0000, 0.0000, 0.6428)  4 U 2.77, 4 Mg 2.84
Os (0.5000, 0.5000, 0.1428)  4 U 2.77, 4 Mg 2.84

Calculated values
The value obtained for the density of states at the Fermi level is 6.95 states/eV per cell. The value obtained for the formation energy is 7 kJ per mole of atoms. As for the size of the total moment: 0.615 μB/atom. The value obtained for the total energy is -7.9622 eV/atom.



[4]
A plane-wave DFT calculation with PBE was carried out for crystalline ThMgZn at its relaxed geometry.

a = 8.6993 Å, b = 8.6993 Å, c = 8.6993 Å
α = 31.38°, β = 31.38°, γ = 31.38°
With the nearest neighbours (Å) after each atom.
Atoms (fractional coordinates):
Th (0.1224, 0.1224, 0.1224)  3 Zn 2.95
Th (0.8776, 0.8776, 0.8776)  3 Zn 2.95
Mg (0.3686, 0.3686, 0.3686)  4 Zn 2.75-2.90
Mg (0.6314, 0.6314, 0.6314)  4 Zn 2.75-2.90
Zn (0.2577, 0.2577, 0.2577)  4 Mg 2.75-2.90, 3 Th 2.95
Zn (0.7423, 0.7423, 0.7423)  4 Mg 2.75-2.90, 3 Th 2.95

Calculated values
The value obtained for the density of states at the Fermi level is 5.18 states/eV per cell. The value obtained for the formation energy is 12 kJ per mole of atoms. As for the size of the total moment: 0.000 μB/atom. The value obtained for the total energy is -3.3048 eV/atom.



[5]
A plane-wave DFT calculation with PBE was carried out for crystalline CaAu2Se at its relaxed geometry.

a = 4.5945 Å, b = 5.2751 Å, c = 7.3208 Å
α = 90.00°, β = 90.00°, γ = 90.00°
With the nearest neighbours (Å) after each atom.
Atoms (fractional coordinates):
Ca (0.0000, 0.0000, 0.0000)  4 Au 3.06-3.11, 4 Se 3.06-3.12
Ca (0.5000, 0.5000, 0.5000)  4 Au 3.06-3.11, 4 Se 3.06-3.12
Au (0.0000, 0.0000, 0.4773)  2 Se 2.68, 2 Au 2.92
Au (0.0000, 0.5000, 0.2245)  4 Au 2.92-3.22, 4 Ca 3.06-3.11, 1 Se 3.19
Au (0.5000, 0.0000, 0.7245)  4 Au 2.92-3.22, 4 Ca 3.06-3.11, 1 Se 3.19
Au (0.5000, 0.5000, 0.9773)  2 Se 2.68, 2 Au 2.92
Se (0.0000, 0.5000, 0.7888)  2 Au 2.68
Se (0.5000, 0.0000, 0.2888)  2 Au 2.68

Calculated values
The value obtained for the density of states at the Fermi level is 0.66 states/eV per cell. The uncorrected formation energy is -0.58 eV per atom. As for the size of the total moment: 0.000 μB/atom. The value obtained for the total energy is -3.5910 eV/atom.



[6]
A plane-wave DFT calculation with PBE was carried out for crystalline CsRbHg at its relaxed geometry.

a = 4.7291 Å, b = 9.0019 Å, c = 9.4244 Å
α = 105.56°, β = 90.09°, γ = 105.18°
With the nearest neighbours (Å) after each atom.
Atoms (fractional coordinates):
Cs (0.1328, 0.2644, 0.0701)  4 Hg 4.03-4.05, 1 Cs 4.41
Cs (0.8672, 0.7356, 0.9299)  4 Hg 4.03-4.05, 1 Cs 4.41
Rb (0.1313, 0.2613, 0.5642)  4 Hg 3.93-3.96, 1 Rb 4.36
Rb (0.8687, 0.7387, 0.4358)  4 Hg 3.93-3.96, 1 Rb 4.36
Hg (0.4993, 0.9992, 0.2571)  4 Rb 3.93-3.96, 4 Cs 4.03-4.05
Hg (0.5007, 0.0008, 0.7429)  4 Rb 3.93-3.96, 4 Cs 4.03-4.05

Calculated values
The value obtained for the density of states at the Fermi level is 4.56 states/eV per cell. The value obtained for the formation energy is -13 kJ per mole of atoms. The relative energy among the computed polymorphs is 0.01 eV/f.u. As for the size of the total moment: 0.000 μB/atom. The value obtained for the total energy is -0.8471 eV/atom.